Density functional theory data (GGA-PBE) for crystalline Ca2BeTl at its relaxed geometry.

```
data_Ca2BeTl
_chemical_formula_sum 'Ca2 Be1 Tl1'
_cell_length_a 3.573
_cell_length_b 3.573
_cell_length_c 8.594
_cell_angle_alpha 90.00
_cell_angle_beta 90.00
_cell_angle_gamma 90.00
_space_group_name_H-M_alt 'P 1'
_space_group_IT_number 1
loop_
_space_group_symop_operation_xyz
'x,y,z'
loop_
_atom_site_label
_atom_site_fract_x
_atom_site_fract_y
_atom_site_fract_z
Ca1 0.000 0.000 0.000
Ca2 0.500 0.500 0.366
Be1 0.500 0.500 0.782
Tl1 0.000 0.000 0.625
```

## Properties
* space-group type: P4mm (99)
* theoretical density: 4.44 g/cm³
* ΔH_f (0 K): 62 kJ/mol of formula units
* relative energy among the computed polymorphs: 0.170 eV/atom


Density functional theory data (GGA-PBE) for crystalline Y2HfAu6 at its relaxed geometry.

```
data_Y2HfAu6
_chemical_formula_sum 'Y2 Hf1 Au6'
_cell_length_a 8.452
_cell_length_b 8.452
_cell_length_c 5.169
_cell_angle_alpha 98.87
_cell_angle_beta 98.87
_cell_angle_gamma 144.24
_space_group_name_H-M_alt 'P 1'
_space_group_IT_number 1
loop_
_space_group_symop_operation_xyz
'x,y,z'
loop_
_atom_site_label
_atom_site_fract_x
_atom_site_fract_y
_atom_site_fract_z
Y1 0.166 0.834 0.000
Y2 0.834 0.166 0.000
Hf1 0.500 0.500 0.500
Au1 0.161 0.161 0.832
Au2 0.179 0.497 0.664
Au3 0.497 0.179 0.664
Au4 0.503 0.821 0.336
Au5 0.821 0.503 0.336
Au6 0.839 0.839 0.168
```

## Properties
* space-group type: C2/m (12)
* theoretical density: 13.69 g/cm³
* ΔH_f (0 K): -589 kJ/mol of formula units


Density functional theory data (GGA-PBE) for crystalline Sn6Bi2Pd at its relaxed geometry.

```
data_Sn6Bi2Pd
_chemical_formula_sum 'Sn6 Bi2 Pd1'
_cell_length_a 8.228
_cell_length_b 8.228
_cell_length_c 4.295
_cell_angle_alpha 90.00
_cell_angle_beta 90.00
_cell_angle_gamma 120.00
_space_group_name_H-M_alt 'P 1'
_space_group_IT_number 1
loop_
_space_group_symop_operation_xyz
'x,y,z'
loop_
_atom_site_label
_atom_site_fract_x
_atom_site_fract_y
_atom_site_fract_z
Sn1 0.000 0.233 0.000
Sn2 0.000 0.642 0.500
Sn3 0.233 0.000 0.000
Sn4 0.358 0.358 0.500
Sn5 0.642 0.000 0.500
Sn6 0.767 0.767 0.000
Bi1 0.333 0.667 0.000
Bi2 0.667 0.333 0.000
Pd1 0.000 0.000 0.500
```

## Properties
* space-group type: P-62m (189)
* theoretical density: 8.15 g/cm³
* ΔH_f (0 K): -63 kJ/mol of formula units


Which formula does entry 3 have? Sn6Bi2Pd


Among the records above, which one has the lowest theoretical density? Ca2BeTl


Among the records above, which one has the lowest ΔH_f (0 K)? Y2HfAu6